A geometry-optimized SrCdOs structure. Source: Alexandria via LeMat-Bulk, functional PBE.

Computed properties:
Volume   138.4 Å³ per cell
Magnetic moment   0.000 μB per atom
Distance to the lowest polymorph of the same formula   0.009 eV/atom

The structure in CIF format:
```
data_SrCdOs
_chemical_formula_sum 'Sr2 Cd2 Os2'
_space_group_name_H-M_alt 'P 1'
_space_group_IT_number 1
_space_group_name_Hall 'P 1'
_cell_length_a 2.992
_cell_length_b 4.323
_cell_length_c 10.704
_cell_angle_alpha 90.00
_cell_angle_beta 90.00
_cell_angle_gamma 90.00
loop_
_atom_site_label
_atom_site_type_symbol
_atom_site_fract_x
_atom_site_fract_y
_atom_site_fract_z
Sr1 Sr 0.000 0.000 0.000
Sr2 Sr 0.500 0.500 0.500
Cd1 Cd 0.000 0.000 0.711
Cd2 Cd 0.500 0.500 0.211
Os1 Os 0.000 0.000 0.308
Os2 Os 0.500 0.500 0.808
```